Below is a relaxed TbPrPuHg crystal, with properties calculated at the PBE level.

abc: 7.714 7.714 7.714
angles: 90.00 90.00 90.00
Positions (direct):
1 Tb 0.000 0.000 0.000
2 Tb 0.000 0.500 0.500
3 Tb 0.500 0.000 0.500
4 Tb 0.500 0.500 0.000
5 Pr 0.000 0.000 0.500
6 Pr 0.000 0.500 0.000
7 Pr 0.500 0.000 0.000
8 Pr 0.500 0.500 0.500
9 Pu 0.250 0.250 0.750
10 Pu 0.250 0.750 0.250
11 Pu 0.750 0.250 0.250
12 Pu 0.750 0.750 0.750
13 Hg 0.250 0.250 0.250
14 Hg 0.250 0.750 0.750
15 Hg 0.750 0.250 0.750
16 Hg 0.750 0.750 0.250

Results
The formation energy comes out at 0.032 eV per atom. For the magnetic moment, the calculation gives 6.52 μB/f.u.

***

Below is a relaxed RbReO3F crystal, with properties calculated at the PBE level.

abc: 8.201 8.201 5.364
angles: 91.23 91.23 119.74
Positions (direct):
1 Rb 0.097 0.903 0.750
2 Rb 0.903 0.097 0.250
3 Re 0.452 0.548 0.250
4 Re 0.548 0.452 0.750
5 O 0.331 0.669 0.250
6 O 0.351 0.353 0.491
7 O 0.353 0.351 0.991
8 O 0.647 0.649 0.009
9 O 0.649 0.647 0.509
10 O 0.669 0.331 0.750
11 F 0.091 0.909 0.250
12 F 0.909 0.091 0.750

Results
The uncorrected formation energy comes out at -1.70 eV per atom. For the magnetic moment, the calculation gives 0.86 μB/f.u.

***

Below is a relaxed Ac6ZnSe5 crystal, with properties calculated at the PBE level.

abc: 7.811 7.811 7.777
angles: 99.61 99.61 119.83
Positions (direct):
1 Ac 0.082 0.412 0.747
2 Ac 0.247 0.247 0.252
3 Ac 0.412 0.082 0.747
4 Ac 0.588 0.918 0.253
5 Ac 0.753 0.753 0.748
6 Ac 0.918 0.588 0.253
7 Zn 0.000 0.000 0.500
8 Se 0.169 0.831 0.000
9 Se 0.334 0.666 0.500
10 Se 0.500 0.500 0.000
11 Se 0.666 0.334 0.500
12 Se 0.831 0.169 0.000

Results
The uncorrected formation energy comes out at -1.58 eV per atom. For the magnetic moment, the calculation gives 0.00 μB/f.u.

***

Below is a relaxed Dy2Ga3CuNi4 crystal, with properties calculated at the PBE level.

abc: 3.840 3.840 10.843
angles: 90.00 90.00 90.00
Positions (direct):
1 Dy 0.000 0.500 0.238
2 Dy 0.500 0.000 0.762
3 Ga 0.000 0.000 0.000
4 Ga 0.000 0.500 0.633
5 Ga 0.500 0.000 0.367
6 Cu 0.500 0.500 0.000
7 Ni 0.000 0.000 0.500
8 Ni 0.000 0.500 0.855
9 Ni 0.500 0.000 0.145
10 Ni 0.500 0.500 0.500

Results
The formation energy comes out at -0.489 eV per atom. For the magnetic moment, the calculation gives 0.00 μB/f.u.

***

Below is a relaxed K2CoMo crystal, with properties calculated at the PBE level.

abc: 3.765 3.765 5.837
angles: 90.00 90.00 90.00
Positions (direct):
1 K 0.000 0.500 0.000
2 K 0.500 0.000 0.000
3 Co 0.000 0.000 0.500
4 Mo 0.500 0.500 0.500

Results
For the excess energy over the best structure of this formula in the dataset, the calculation gives 2.87 eV per formula unit. The formation energy comes out at 1.519 eV per atom. For the magnetic moment, the calculation gives 0.00 μB/f.u.

***

Below is a relaxed Zr2CoTc crystal, with properties calculated at the PBE level.

abc: 3.294 4.484 9.407
angles: 90.00 90.00 90.00
Positions (direct):
1 Zr 0.000 0.000 0.000
2 Zr 0.000 0.500 0.229
3 Zr 0.500 0.000 0.729
4 Zr 0.500 0.500 0.500
5 Co 0.000 0.500 0.753
6 Co 0.500 0.000 0.253
7 Tc 0.000 0.000 0.480
8 Tc 0.500 0.500 0.980

Results
For the excess energy over the best structure of this formula in the dataset, the calculation gives 0.98 eV per formula unit. The formation energy comes out at -0.130 eV per atom. For the magnetic moment, the calculation gives 1.33 μB/f.u.

***

Below is a relaxed AlSiPb crystal, with properties calculated at the PBE level.

abc: 3.636 3.636 10.012
angles: 90.00 90.00 90.00
Positions (direct):
1 Al 0.250 0.250 0.191
2 Al 0.750 0.750 0.809
3 Si 0.250 0.750 0.000
4 Si 0.750 0.250 0.000
5 Pb 0.250 0.250 0.621
6 Pb 0.750 0.750 0.379

Results
For the excess energy over the best structure of this formula in the dataset, the calculation gives 0.10 eV per formula unit. The uncorrected formation energy comes out at 0.22 eV per atom. For the magnetic moment, the calculation gives 0.00 μB/f.u.

***

Below is a relaxed Y3HoSn2C crystal, with properties calculated at the PBE level.

abc: 4.783 4.798 15.961
angles: 90.00 90.00 90.00
Positions (direct):
1 Y 0.000 0.000 0.000
2 Y 0.000 0.500 0.160
3 Y 0.000 0.500 0.840
4 Y 0.500 0.000 0.340
5 Y 0.500 0.000 0.660
6 Y 0.500 0.500 0.500
7 Ho 0.000 0.000 0.500
8 Ho 0.500 0.500 0.000
9 Sn 0.000 0.500 0.360
10 Sn 0.000 0.500 0.640
11 Sn 0.500 0.000 0.140
12 Sn 0.500 0.000 0.860
13 C 0.000 0.500 0.000
14 C 0.500 0.000 0.500

Results
The formation energy comes out at -0.698 eV per atom. For the magnetic moment, the calculation gives 0.00 μB/f.u.